Computed, not measured: a relaxed structure of K4Ac3BiSe8 at the PBE-GGA level of DFT.

Properties
* total magnetization: 0.00 μB/atom
* space-group type: R-3m
* formation energy (no corrections): -1.5563 eV/atom

Lattice parameters (Å, degrees): 9.336 9.336 9.336 57.86 57.86 57.86
Sites, in units of the cell vectors:
K  0.000  0.000  0.000
K  0.000  0.500  0.500
K  0.500  0.000  0.500
K  0.500  0.500  0.000
Ac  0.000  0.000  0.500
Ac  0.000  0.500  0.000
Ac  0.500  0.000  0.000
Bi  0.500  0.500  0.500
Se  0.240  0.240  0.240
Se  0.248  0.734  0.734
Se  0.266  0.266  0.752
Se  0.266  0.752  0.266
Se  0.734  0.248  0.734
Se  0.734  0.734  0.248
Se  0.752  0.266  0.266
Se  0.760  0.760  0.760

Computed, not measured: a relaxed structure of Mg2MoPb at the PBE-GGA level of DFT.

Properties
* total magnetization: 0.00 μB/atom
* space-group type: Cmm2
* formation enthalpy at 0 K: 0.3927 eV/atom

Lattice parameters (Å, degrees): 3.042 3.042 9.741 90.00 90.00 105.32
Sites, in units of the cell vectors:
Mg  0.000  0.000  0.000
Mg  0.500  0.500  0.256
Mo  0.000  0.000  0.472
Pb  0.500  0.500  0.706

Computed, not measured: a relaxed structure of K2CoSb at the PBE-GGA level of DFT.

Properties
* total magnetization: 0.50 μB/atom
* space-group type: I-42d
* formation energy (no corrections): 0.2102 eV/atom

Lattice parameters (Å, degrees): 9.755 9.755 9.755 93.54 93.54 151.23
Sites, in units of the cell vectors:
K  0.375  0.154  0.279
K  0.846  0.125  0.221
K  0.875  0.096  0.721
K  0.904  0.625  0.779
Co  0.250  0.750  0.500
Co  0.500  0.500  0.000
Sb  0.000  0.000  0.000
Sb  0.750  0.250  0.500

no.,DOS(E_F) (states/eV/f.u.)
1,0.00
2,1.55
3,3.37